Entry from Alexandria: a relaxed SrLi2GaCu crystal (PBE).

The space group is P4/mmm (No. 123) and the conventional cell measures 5.9882, 5.9882 and 5.3910 Å, with angles of 90.00, 90.00 and 90.00 degrees. The distinct sites, in fractional coordinates, are Sr at (0.0000, 0.0000, 0.0000), Li at (0.0000, 0.5000, 0.0000), Ga at (0.5000, 0.5000, 0.5000) and Cu at (0.0000, 0.0000, 0.5000).

Its formation energy from the elements is 5.0 eV/f.u. For the density of states at the Fermi level, the calculation gives 4.53 states/eV/f.u. The calculation puts the total energy at -1.53 eV per atom. The calculation puts the energy above the most stable polymorph in this dataset at 106.08 kJ/mol of atoms.



Entry from Alexandria: a relaxed Sr2LiGaCu crystal (PBE).

The space group is P4/mmm (No. 123) and the conventional cell measures 5.9314, 5.9314 and 4.6237 Å, with angles of 90.00, 90.00 and 90.00 degrees. The distinct sites, in fractional coordinates, are Sr at (0.0000, 0.5000, 0.0000), Li at (0.0000, 0.0000, 0.5000), Ga at (0.5000, 0.5000, 0.5000) and Cu at (0.5000, 0.5000, 0.0000).

Its formation energy from the elements is -0.3 eV/f.u. For the density of states at the Fermi level, the calculation gives 4.57 states/eV/f.u. The calculation puts the total energy at -2.54 eV per atom.



Entry from Alexandria: a relaxed Sr2LiGa4Cu3 crystal (PBE).

The space group is P-4m2 (No. 115) and the conventional cell measures 4.3300, 4.3300 and 10.6008 Å, with angles of 90.00, 90.00 and 90.00 degrees. The distinct sites, in fractional coordinates, are Sr at (0.0000, 0.5000, 0.2462), Li at (0.0000, 0.0000, 0.5000), Ga at (0.0000, 0.0000, 0.0000), Ga at (0.0000, 0.5000, 0.6321), Ga at (0.5000, 0.5000, 0.0000), Cu at (0.0000, 0.5000, 0.8723) and Cu at (0.5000, 0.5000, 0.5000).

Its formation energy from the elements is -2.8 eV/f.u. For the density of states at the Fermi level, the calculation gives 5.61 states/eV/f.u. The calculation puts the total energy at -3.25 eV per atom.